The following is a PBE calculation of a geometry-optimized La8Nd2Zn structure, from Alexandria.

Cell: 6.116 10.411 10.411 Å, 38.71 66.88 66.88°
Sites, in units of the cell vectors:
1 La 0.679 0.916 0.916
2 La 0.208 0.537 0.537
3 La 0.321 0.084 0.084
4 La 0.327 0.601 0.104
5 La 0.792 0.463 0.463
6 La 0.327 0.104 0.601
7 La 0.673 0.896 0.399
8 La 0.673 0.399 0.896
9 Zn 0.000 0.000 0.000
10 Nd 0.926 0.274 0.274
11 Nd 0.074 0.726 0.726

Properties
Its total energy is -49.7 eV per cell. As for the density of states at the Fermi level: 1.45 states/eV per atom. As for the calculated volume: 376.9 Å³/cell. The value obtained for the size of the total moment is 0.000 μB/f.u. Its crystal system is monoclinic. The value obtained for the formation energy is 0.05 eV/atom. As for the density: 6.45 g/cm³. The calculation puts the energy above the most stable polymorph in this dataset at 0.79 eV/f.u.